Record 1
First-principles (GGA-PBE) data for a geometry-optimized LaZnCd4 structure, as listed in Alexandria via LeMat-Bulk.

Properties
* energy of formation: -79 meV per atom
* theoretical density: 7.296 g/cm³
* energy above the most stable polymorph in this dataset: 0.163 eV per atom

Structure (POSCAR):
```
LaZnCd4
1.0
1.692 -0.442 5.686
-3.028 -3.496 3.741
2.443 -5.044 1.993
La Zn Cd
1 1 4
Direct
0.750 0.750 0.750 La
0.000 0.000 0.000 Zn
0.375 0.876 0.375 Cd
0.876 0.375 0.375 Cd
0.375 0.375 0.876 Cd
0.375 0.375 0.375 Cd
```

=====

Record 2
First-principles (GGA-PBE) data for a geometry-optimized La2ZnCd2 structure, as listed in Alexandria via LeMat-Bulk.

Properties
* energy of formation: -223 meV per atom
* theoretical density: 6.842 g/cm³
* energy above the most stable polymorph in this dataset: 0.000 eV per atom

Structure (POSCAR):
```
La2ZnCd2
1.0
-1.250 -0.423 -7.245
-4.633 -5.612 1.127
-3.856 3.279 0.474
Zn Cd La
2 4 4
Direct
0.000 0.000 0.000 Zn
0.500 0.500 0.000 Zn
0.357 0.857 0.000 Cd
0.857 0.643 0.000 Cd
0.643 0.143 0.000 Cd
0.143 0.357 0.000 Cd
0.160 0.660 0.500 La
0.660 0.840 0.500 La
0.840 0.340 0.500 La
0.340 0.160 0.500 La
```